## Cr2ReP (PBE)

Data for a relaxed structure of Cr2ReP.

Output
The value obtained for the density of states at the Fermi level is 5.15 states/eV per cell. The calculated formation energy comes out at 22 kJ/mol of formula units. For the electronic total energy, the calculation gives -9.218 eV per atom.

Unit cell a=5.5416 b=4.4752 c=2.8086 alpha=89.91 beta=59.71 gamma=117.44
Closest atoms and distances in Å follow each position.
Fractional positions:
Cr 0.0000 0.0000 0.0000  2 Cr 2.39, 4 P 2.64, 4 Re 2.64
Cr 0.5000 0.0000 0.5000  2 Cr 2.39, 4 Re 2.64, 4 P 2.64
P 0.0000 0.5000 0.5000  2 Re 2.39, 8 Cr 2.64
Re 0.5000 0.5000 0.0000  2 P 2.39, 8 Cr 2.64